[1]
Entry from Alexandria via LeMat-Bulk: a relaxed structure of NaBiPt4 (PBE-GGA).

ΔH_f (0 K)	-0.257	eV per atom
theoretical density	14.89	g/cm³
raw total energy	-5.15	eV/atom
M_tot	0.000	Bohr magnetons per cell

Unit cell a=5.4253 b=5.4253 c=5.4253 alpha=60.00 beta=60.00 gamma=60.00
Last column: nearest neighbours and their distance in Å.
Fractional positions:
Na  0.0000  0.0000  0.0000  12 Pt 3.18, 4 Bi 3.32
Bi  0.2500  0.2500  0.2500  12 Pt 3.18, 4 Na 3.32
Pt  0.1246  0.6251  0.6251  6 Pt 2.71-2.72
Pt  0.6251  0.1246  0.6251  6 Pt 2.71-2.72
Pt  0.6251  0.6251  0.1246  6 Pt 2.71-2.72
Pt  0.6251  0.6251  0.6251  6 Pt 2.71-2.72

=====

[2]
Entry from Alexandria via LeMat-Bulk: a relaxed structure of NaBi2Pt2 (PBE-GGA).

ΔH_f (0 K)	-0.173	eV per atom
theoretical density	10.13	g/cm³
raw total energy	-4.41	eV/atom
energy relative to the lowest polymorph listed for this composition	57	kJ/mol of formula units
M_tot	0.000	Bohr magnetons per cell

Unit cell a=6.6871 b=6.6871 c=6.6871 alpha=137.25 beta=137.25 gamma=62.06
Last column: nearest neighbours and their distance in Å.
Fractional positions:
Na  0.0000  0.0000  0.0000  8 Pt 3.76, 10 Bi 3.80-4.13
Bi  0.3601  0.3601  0.0000  4 Pt 2.74
Bi  0.6399  0.6399  0.0000  4 Pt 2.74
Pt  0.2500  0.7500  0.5000  4 Bi 2.74
Pt  0.7500  0.2500  0.5000  4 Bi 2.74

=====

[3]
Entry from Alexandria via LeMat-Bulk: a relaxed structure of Na5Bi2Pt (PBE-GGA).

ΔH_f (0 K)	-0.325	eV per atom
theoretical density	5.06	g/cm³
raw total energy	-2.88	eV/atom
M_tot	0.000	Bohr magnetons per cell

Unit cell a=5.3006 b=5.3006 c=19.6341 alpha=90.00 beta=90.00 gamma=120.00
Last column: nearest neighbours and their distance in Å.
Fractional positions:
Na  0.0000  0.0000  0.1647  3 Bi 3.21, 4 Na 3.35-3.49, 3 Pt 3.49
Na  0.0000  0.0000  0.3353  3 Bi 3.21, 4 Na 3.35-3.49, 3 Pt 3.49
Na  0.0000  0.0000  0.6647  3 Bi 3.21, 4 Na 3.35-3.49, 3 Pt 3.49
Na  0.0000  0.0000  0.8353  3 Bi 3.21, 4 Na 3.35-3.49, 3 Pt 3.49
Na  0.3333  0.6667  0.0528  4 Bi 3.29
Na  0.3333  0.6667  0.2500  3 Pt 3.06
Na  0.3333  0.6667  0.4472  4 Bi 3.29
Na  0.6667  0.3333  0.5528  4 Bi 3.29
Na  0.6667  0.3333  0.7500  3 Pt 3.06
Na  0.6667  0.3333  0.9472  4 Bi 3.29
Bi  0.3333  0.6667  0.6149  1 Pt 2.65
Bi  0.3333  0.6667  0.8851  1 Pt 2.65
Bi  0.6667  0.3333  0.1149  1 Pt 2.65
Bi  0.6667  0.3333  0.3851  1 Pt 2.65
Pt  0.3333  0.6667  0.7500  2 Bi 2.65
Pt  0.6667  0.3333  0.2500  2 Bi 2.65

=====

[4]
Entry from Alexandria via LeMat-Bulk: a relaxed structure of NaBi3Pt (PBE-GGA).

ΔH_f (0 K)	-0.217	eV per atom
theoretical density	9.52	g/cm³
raw total energy	-4.02	eV/atom
energy relative to the lowest polymorph listed for this composition	2	kJ/mol of formula units
M_tot	0.000	Bohr magnetons per cell

Unit cell a=7.2459 b=6.4038 c=6.3532 alpha=90.00 beta=90.00 gamma=90.00
Last column: nearest neighbours and their distance in Å.
Fractional positions:
Na  0.0000  0.2060  0.0000  1 Pt 2.94
Na  0.5000  0.7940  0.5000  1 Pt 2.94
Bi  0.0000  0.8737  0.4036  1 Pt 2.78
Bi  0.2494  0.2912  0.5022  2 Pt 2.79-2.80
Bi  0.2506  0.7088  0.0022  2 Pt 2.79-2.80
Bi  0.5000  0.1263  0.9036  1 Pt 2.78
Bi  0.7494  0.7088  0.0022  2 Pt 2.79-2.80
Bi  0.7506  0.2912  0.5022  2 Pt 2.79-2.80
Pt  0.0000  0.5576  0.7025  5 Bi 2.78-2.80, 1 Na 2.94
Pt  0.5000  0.4424  0.2025  5 Bi 2.78-2.80, 1 Na 2.94

=====

[5]
Entry from Alexandria via LeMat-Bulk: a relaxed structure of NaBi2Pt2 (PBE-GGA).

ΔH_f (0 K)	-0.205	eV per atom
theoretical density	10.67	g/cm³
raw total energy	-4.44	eV/atom
energy relative to the lowest polymorph listed for this composition	42	kJ/mol of formula units
M_tot	0.000	Bohr magnetons per cell

Unit cell a=6.1158 b=6.1158 c=6.1158 alpha=130.48 beta=130.48 gamma=72.64
Last column: nearest neighbours and their distance in Å.
Fractional positions:
Na  0.0000  0.0000  0.0000  8 Bi 3.55, 10 Pt 3.61-3.85
Bi  0.2500  0.7500  0.5000  4 Pt 2.81
Bi  0.7500  0.2500  0.5000  4 Pt 2.81
Pt  0.3666  0.3666  0.0000  1 Pt 2.63, 4 Bi 2.81
Pt  0.6334  0.6334  0.0000  1 Pt 2.63, 4 Bi 2.81

=====

[6]
Entry from Alexandria via LeMat-Bulk: a relaxed structure of Na3Bi4Pt2 (PBE-GGA).

ΔH_f (0 K)	-0.288	eV per atom
theoretical density	8.68	g/cm³
raw total energy	-3.79	eV/atom
M_tot	0.000	Bohr magnetons per cell

Unit cell a=6.2764 b=6.2764 c=9.0192 alpha=91.63 beta=91.63 gamma=44.27
Last column: nearest neighbours and their distance in Å.
Fractional positions:
Na  0.0000  0.0000  0.0000  8 Bi 3.37-3.70, 4 Na 3.71
Na  0.3928  0.3928  0.7101  3 Pt 3.07-3.17, 1 Bi 3.41
Na  0.6072  0.6072  0.2899  3 Pt 3.07-3.17, 1 Bi 3.41
Bi  0.1045  0.1045  0.6251  3 Pt 2.80
Bi  0.3110  0.3110  0.0988  1 Pt 2.81
Bi  0.6890  0.6890  0.9012  1 Pt 2.81
Bi  0.8955  0.8955  0.3749  3 Pt 2.80
Pt  0.2685  0.2685  0.4043  4 Bi 2.80-2.81, 2 Pt 2.97, 1 Na 3.07
Pt  0.7315  0.7315  0.5957  4 Bi 2.80-2.81, 2 Pt 2.97, 1 Na 3.07

=====

[7]
Entry from Alexandria via LeMat-Bulk: a relaxed structure of Na2Bi2Pt (PBE-GGA).

ΔH_f (0 K)	-0.217	eV per atom
theoretical density	7.84	g/cm³
raw total energy	-3.51	eV/atom
energy relative to the lowest polymorph listed for this composition	26	kJ/mol of formula units
M_tot	0.000	Bohr magnetons per cell

Unit cell a=12.7706 b=12.7706 c=12.7706 alpha=158.51 beta=158.51 gamma=30.57
Last column: nearest neighbours and their distance in Å.
Fractional positions:
Na  0.0467  0.2967  0.7500  2 Pt 3.06, 5 Bi 3.30-3.41, 2 Na 3.31
Na  0.2967  0.0467  0.2500  2 Pt 3.06, 5 Bi 3.30-3.41, 2 Na 3.31
Na  0.7033  0.9533  0.7500  2 Pt 3.06, 5 Bi 3.30-3.41, 2 Na 3.31
Na  0.9533  0.7033  0.2500  2 Pt 3.06, 5 Bi 3.30-3.41, 2 Na 3.31
Bi  0.1807  0.4307  0.7500  2 Pt 2.75
Bi  0.4307  0.1807  0.2500  2 Pt 2.75
Bi  0.5693  0.8193  0.7500  2 Pt 2.75
Bi  0.8193  0.5693  0.2500  2 Pt 2.75
Pt  0.3750  0.6250  0.7500  4 Bi 2.75, 4 Na 3.06
Pt  0.6250  0.3750  0.2500  4 Bi 2.75, 4 Na 3.06

=====

[8]
Entry from Alexandria via LeMat-Bulk: a relaxed structure of Na12Bi7Pt (PBE-GGA).

ΔH_f (0 K)	-0.230	eV per atom
theoretical density	5.17	g/cm³
raw total energy	-2.68	eV/atom
M_tot	0.000	Bohr magnetons per cell

Unit cell a=8.9591 b=8.9591 c=8.9591 alpha=105.55 beta=105.55 gamma=105.55
Last column: nearest neighbours and their distance in Å.
Fractional positions:
Na  0.0831  0.3639  0.2777  4 Bi 3.17-3.42, 1 Pt 3.28, 1 Na 3.38
Na  0.2146  0.3840  0.6760  3 Bi 3.22-3.42, 1 Na 3.38
Na  0.2777  0.0831  0.3639  4 Bi 3.17-3.42, 1 Pt 3.28, 1 Na 3.38
Na  0.3240  0.7854  0.6160  3 Bi 3.22-3.42, 1 Na 3.38
Na  0.3639  0.2777  0.0831  4 Bi 3.17-3.42, 1 Pt 3.28, 1 Na 3.38
Na  0.3840  0.6760  0.2146  3 Bi 3.22-3.42, 1 Na 3.38
Na  0.6160  0.3240  0.7854  3 Bi 3.22-3.42, 1 Na 3.38
Na  0.6361  0.7223  0.9169  4 Bi 3.17-3.42, 1 Pt 3.28, 1 Na 3.38
Na  0.6760  0.2146  0.3840  3 Bi 3.22-3.42, 1 Na 3.38
Na  0.7223  0.9169  0.6361  4 Bi 3.17-3.42, 1 Pt 3.28, 1 Na 3.38
Na  0.7854  0.6160  0.3240  3 Bi 3.22-3.42, 1 Na 3.38
Na  0.9169  0.6361  0.7223  4 Bi 3.17-3.42, 1 Pt 3.28, 1 Na 3.38
Bi  0.0060  0.7043  0.1070  1 Pt 3.06, 5 Na 3.17-3.36, 2 Bi 3.25
Bi  0.1070  0.0060  0.7043  1 Pt 3.06, 5 Na 3.17-3.36, 2 Bi 3.25
Bi  0.2957  0.8930  0.9940  1 Pt 3.06, 5 Na 3.17-3.36, 2 Bi 3.25
Bi  0.5000  0.5000  0.5000  12 Na 3.42
Bi  0.7043  0.1070  0.0060  1 Pt 3.06, 5 Na 3.17-3.36, 2 Bi 3.25
Bi  0.8930  0.9940  0.2957  1 Pt 3.06, 5 Na 3.17-3.36, 2 Bi 3.25
Bi  0.9940  0.2957  0.8930  1 Pt 3.06, 5 Na 3.17-3.36, 2 Bi 3.25
Pt  0.0000  0.0000  0.0000  6 Bi 3.06, 6 Na 3.28

=====

[9]
Entry from Alexandria via LeMat-Bulk: a relaxed structure of NaBi2Pt2 (PBE-GGA).

ΔH_f (0 K)	-0.291	eV per atom
theoretical density	10.94	g/cm³
raw total energy	-4.52	eV/atom
energy relative to the lowest polymorph listed for this composition	0	kJ/mol of formula units
M_tot	0.000	Bohr magnetons per cell

Unit cell a=5.2929 b=4.6459 c=10.5749 alpha=90.00 beta=104.00 gamma=90.00
Last column: nearest neighbours and their distance in Å.
Fractional positions:
Na  0.1930  0.2500  0.2729  5 Pt 2.98-3.32
Na  0.8070  0.7500  0.7271  5 Pt 2.98-3.32
Bi  0.2060  0.2500  0.6136  5 Pt 2.78-2.94
Bi  0.2644  0.7500  0.0246  4 Pt 2.79-2.85
Bi  0.7356  0.2500  0.9754  4 Pt 2.79-2.85
Bi  0.7940  0.7500  0.3864  5 Pt 2.78-2.94
Pt  0.1843  0.2500  0.8746  5 Bi 2.79-2.85
Pt  0.3422  0.7500  0.5027  4 Bi 2.78-2.94, 2 Pt 2.87, 1 Na 2.98
Pt  0.6578  0.2500  0.4973  4 Bi 2.78-2.94, 2 Pt 2.87, 1 Na 2.98
Pt  0.8157  0.7500  0.1254  5 Bi 2.79-2.85

=====

[10]
Entry from Alexandria via LeMat-Bulk: a relaxed structure of NaBi3Pt (PBE-GGA).

ΔH_f (0 K)	-0.221	eV per atom
theoretical density	9.73	g/cm³
raw total energy	-4.02	eV/atom
energy relative to the lowest polymorph listed for this composition	0	kJ/mol of formula units
M_tot	0.000	Bohr magnetons per cell

Unit cell a=10.0472 b=4.4765 c=12.8214 alpha=90.00 beta=90.00 gamma=90.00
Last column: nearest neighbours and their distance in Å.
Fractional positions:
Na  0.1394  0.2500  0.0183  7 Bi 3.39-3.76, 2 Na 3.62
Na  0.3606  0.7500  0.5183  7 Bi 3.39-3.76, 2 Na 3.62
Na  0.6394  0.2500  0.4817  7 Bi 3.39-3.76, 2 Na 3.62
Na  0.8606  0.7500  0.9817  7 Bi 3.39-3.76, 2 Na 3.62
Bi  0.0783  0.7500  0.2199  2 Pt 2.87
Bi  0.1116  0.2500  0.5543  3 Pt 2.82-2.89
Bi  0.1956  0.7500  0.8163  2 Pt 2.88-3.06
Bi  0.3044  0.2500  0.3163  2 Pt 2.88-3.06
Bi  0.3884  0.7500  0.0543  3 Pt 2.82-2.89
Bi  0.4217  0.2500  0.7199  2 Pt 2.87
Bi  0.5783  0.7500  0.2801  2 Pt 2.87
Bi  0.6116  0.2500  0.9457  3 Pt 2.82-2.89
Bi  0.6956  0.7500  0.6837  2 Pt 2.88-3.06
Bi  0.8044  0.2500  0.1837  2 Pt 2.88-3.06
Bi  0.8884  0.7500  0.4457  3 Pt 2.82-2.89
Bi  0.9217  0.2500  0.7801  2 Pt 2.87
Pt  0.0020  0.2500  0.3460  7 Bi 2.82-3.06
Pt  0.4980  0.7500  0.8460  7 Bi 2.82-3.06
Pt  0.5020  0.2500  0.1540  7 Bi 2.82-3.06
Pt  0.9980  0.7500  0.6540  7 Bi 2.82-3.06